[1]
! SCAN Tm5BiPd2, single point on PBEsol structure; values from VASP
&SYSTEM
  ibrav = 0, nat = 16, ntyp = 3
/
ATOMIC_SPECIES
Tm 168.93 Tm.upf
Pd 106.42 Pd.upf
Bi 208.98 Bi.upf
CELL_PARAMETERS angstrom
7.603 0.000 0.000
-3.801 7.692 0.080
0.000 3.688 6.648
ATOMIC_POSITIONS crystal
Tm 0.795 0.280 0.015
Tm 0.485 0.280 0.705
Tm 0.705 0.720 0.795
Tm 0.295 0.280 0.205
Tm 0.985 0.280 0.515
Tm 0.515 0.720 0.295
Tm 0.205 0.720 0.985
Tm 0.500 0.000 0.500
Tm 0.015 0.720 0.485
Tm 0.000 0.000 0.000
Pd 0.863 0.000 0.363
Pd 0.363 0.000 0.137
Pd 0.637 0.000 0.863
Pd 0.137 0.000 0.637
Bi 0.250 0.500 0.750
Bi 0.750 0.500 0.250
! space-group type = I4/mcm (140)
! energy of formation from the pure elements = -632.9 kJ/mol of formula units

---

[2]
! SCAN Bi3BrCl, single point on PBEsol structure; values from VASP
&SYSTEM
  ibrav = 0, nat = 5, ntyp = 3
/
ATOMIC_SPECIES
Bi 208.98 Bi.upf
Br 79.90 Br.upf
Cl 35.45 Cl.upf
CELL_PARAMETERS angstrom
-1.887 4.803 1.824
-4.633 -2.431 1.607
2.221 -0.990 4.903
ATOMIC_POSITIONS crystal
Bi 0.000 0.000 0.500
Bi 0.500 0.000 0.000
Bi 0.000 0.500 0.000
Br 0.500 0.500 0.500
Cl 0.000 0.000 0.000
! space-group type = Pm-3m (221)
! E_form (uncorrected) = 0.71 eV/atom

---

[3]
! SCAN Li4Cr3GaO8, single point on PBEsol structure; values from VASP
&SYSTEM
  ibrav = 0, nat = 16, ntyp = 4
/
ATOMIC_SPECIES
O 16.00 O.upf
Cr 52.00 Cr.upf
Li 6.94 Li.upf
Ga 69.72 Ga.upf
CELL_PARAMETERS angstrom
-1.306 2.042 -4.421
1.498 -4.927 -2.718
-4.728 0.139 3.380
ATOMIC_POSITIONS crystal
O 0.757 0.136 0.774
O 0.757 0.638 0.774
O 0.741 0.613 0.227
O 0.741 0.111 0.222
O 0.243 0.362 0.226
O 0.259 0.889 0.778
O 0.243 0.864 0.226
O 0.259 0.387 0.773
Cr 0.000 0.000 0.000
Cr 0.500 0.250 0.000
Cr 0.500 0.750 0.000
Li 0.496 0.249 0.498
Li 0.000 0.000 0.500
Li 0.504 0.751 0.502
Li 0.000 0.500 0.500
Ga 0.000 0.500 0.000
! space-group type = C2/m (12)
! E_form (uncorrected) = -2.44 eV/atom

---

[4]
! SCAN SrReS2Cl, single point on PBEsol structure; values from VASP
&SYSTEM
  ibrav = 0, nat = 5, ntyp = 4
/
ATOMIC_SPECIES
S 32.06 S.upf
Re 186.21 Re.upf
Sr 87.62 Sr.upf
Cl 35.45 Cl.upf
CELL_PARAMETERS angstrom
-1.028 1.926 -4.024
-4.067 -2.100 0.034
-2.039 3.988 2.430
ATOMIC_POSITIONS crystal
S 0.000 0.500 0.000
S 0.500 0.000 0.000
Re 0.000 0.000 0.000
Sr 0.500 0.500 0.500
Cl 0.000 0.000 0.500
! space-group type = P4/mmm (123)
! E_form (uncorrected) = -0.81 eV/atom

---

[5]
! SCAN Zn4CdAg, single point on PBEsol structure; values from VASP
&SYSTEM
  ibrav = 0, nat = 6, ntyp = 3
/
ATOMIC_SPECIES
Cd 112.41 Cd.upf
Zn 65.41 Zn.upf
Ag 107.87 Ag.upf
CELL_PARAMETERS angstrom
5.063 0.000 0.000
2.532 4.385 0.000
2.532 1.462 4.134
ATOMIC_POSITIONS crystal
Cd 0.000 0.000 0.000
Zn 0.375 0.375 0.375
Zn 0.375 0.874 0.375
Zn 0.874 0.375 0.375
Zn 0.375 0.375 0.874
Ag 0.750 0.750 0.750
! space-group type = F-43m (216)
! energy of formation from the pure elements = -6.7 kJ/mol of formula units

---

[6]
! SCAN Sr2TlAu, single point on PBEsol structure; values from VASP
&SYSTEM
  ibrav = 0, nat = 4, ntyp = 3
/
ATOMIC_SPECIES
Sr 87.62 Sr.upf
Au 196.97 Au.upf
Tl 204.38 Tl.upf
CELL_PARAMETERS angstrom
-1.065 0.627 -5.340
-5.163 -0.285 -1.817
-2.534 4.524 -1.777
ATOMIC_POSITIONS crystal
Sr 0.750 0.750 0.750
Sr 0.250 0.250 0.250
Au 0.000 0.000 0.000
Tl 0.500 0.500 0.500
! space-group type = Fm-3m (225)
! energy of formation from the pure elements = -265.3 kJ/mol of formula units

---

[7]
! SCAN MgAs2S, single point on PBEsol structure; values from VASP
&SYSTEM
  ibrav = 0, nat = 8, ntyp = 3
/
ATOMIC_SPECIES
Mg 24.30 Mg.upf
As 74.92 As.upf
S 32.06 S.upf
CELL_PARAMETERS angstrom
5.507 0.000 0.000
0.000 5.507 0.000
-2.753 -2.753 6.582
ATOMIC_POSITIONS crystal
Mg 0.500 0.500 0.000
Mg 0.750 0.250 0.500
As 0.343 0.875 0.250
As 0.625 0.657 0.750
As 0.125 0.093 0.750
As 0.907 0.375 0.250
S 0.000 0.000 0.000
S 0.250 0.750 0.500
! space-group type = I-42d (122)
! E_form (uncorrected) = 0.14 eV/atom

---

[8]
! SCAN ZrSeO2, single point on PBEsol structure; values from VASP
&SYSTEM
  ibrav = 0, nat = 8, ntyp = 3
/
ATOMIC_SPECIES
Se 78.96 Se.upf
O 16.00 O.upf
Zr 91.22 Zr.upf
CELL_PARAMETERS angstrom
-2.804 0.511 -5.675
2.513 -2.907 -5.056
-2.930 -5.021 -2.557
ATOMIC_POSITIONS crystal
Se 0.000 0.000 0.000
Se 0.250 0.250 0.250
O 0.125 0.625 0.625
O 0.625 0.125 0.625
O 0.625 0.625 0.625
O 0.625 0.625 0.125
Zr 0.500 0.500 0.500
Zr 0.750 0.750 0.750
! space-group type = Fd-3m (227)
! E_form (uncorrected) = -2.04 eV/atom

---

[9]
! SCAN TiB4Mo, single point on PBEsol structure; values from VASP
&SYSTEM
  ibrav = 0, nat = 6, ntyp = 3
/
ATOMIC_SPECIES
B 10.81 B.upf
Ti 47.87 Ti.upf
Mo 95.94 Mo.upf
CELL_PARAMETERS angstrom
-0.500 -1.114 2.783
0.301 -1.889 -2.361
6.267 -0.273 1.017
ATOMIC_POSITIONS crystal
B 0.667 0.333 0.256
B 0.333 0.667 0.744
B 0.667 0.333 0.744
B 0.333 0.667 0.256
Ti 0.000 0.000 0.500
Mo 0.000 0.000 0.000
! space-group type = P6/mmm (191)
! energy of formation from the pure elements = -405.0 kJ/mol of formula units

---

[10]
! SCAN Li2BeRh, single point on PBEsol structure; values from VASP
&SYSTEM
  ibrav = 0, nat = 4, ntyp = 3
/
ATOMIC_SPECIES
Li 6.94 Li.upf
Rh 102.91 Rh.upf
Be 9.01 Be.upf
CELL_PARAMETERS angstrom
-1.536 -0.837 -2.346
2.941 -1.694 -1.321
-1.838 -2.267 3.837
ATOMIC_POSITIONS crystal
Li 0.260 0.260 0.521
Li 0.740 0.740 0.479
Rh 0.500 0.000 0.000
Be 0.000 0.500 0.000
! space-group type = Immm (71)
! energy of formation from the pure elements = -118.8 kJ/mol of formula units

---

[11]
! SCAN RbTl2Sb2, single point on PBEsol structure; values from VASP
&SYSTEM
  ibrav = 0, nat = 10, ntyp = 3
/
ATOMIC_SPECIES
Tl 204.38 Tl.upf
Sb 121.76 Sb.upf
Rb 85.47 Rb.upf
CELL_PARAMETERS angstrom
-1.248 -2.829 -1.799
8.641 -3.440 -0.584
-1.268 -4.550 8.033
ATOMIC_POSITIONS crystal
Tl 0.000 0.870 0.630
Tl 0.000 0.130 0.370
Tl 0.000 0.630 0.130
Tl 0.000 0.370 0.870
Sb 0.500 0.165 0.665
Sb 0.500 0.665 0.835
Sb 0.500 0.835 0.335
Sb 0.500 0.335 0.165
Rb 0.000 0.500 0.500
Rb 0.000 0.000 0.000
! space-group type = P4/mbm (127)
! E_form (uncorrected) = -0.11 eV/atom

---

[12]
! SCAN InIrPb, single point on PBEsol structure; values from VASP
&SYSTEM
  ibrav = 0, nat = 3, ntyp = 3
/
ATOMIC_SPECIES
In 114.82 In.upf
Pb 207.20 Pb.upf
Ir 192.22 Ir.upf
CELL_PARAMETERS angstrom
3.340 0.000 0.000
0.000 4.674 0.000
0.000 -2.337 4.048
ATOMIC_POSITIONS crystal
In 0.834 0.000 0.000
Pb 0.333 0.333 0.667
Ir 0.833 0.667 0.333
! space-group type = P-6m2 (187)
! energy of formation from the pure elements = 122.0 kJ/mol of formula units

---

The records above give, respectively, total DFT energy (no corrections) values of -409.8 -259.6 -169.9 -124.7 -115.9 -188.8 -54.4 -71.4 -84.8 -44.1 -240.5 -179.0 eV/f.u..